(1)
A plane-wave DFT calculation with PBE-GGA was carried out for a geometry-optimized Sr6Pb3F structure.

Cell lengths 7.7831, 10.4459, 10.4459 Å; angles 107.49, 90.00, 90.00 degrees
Atoms (fractional coordinates):
Sr 0.2040 0.6876 0.6518
Sr 0.7040 0.6518 0.6876
Sr 0.1905 0.4255 0.8903
Sr 0.6905 0.8903 0.4255
Sr 0.1045 0.0552 0.9448
Sr 0.6995 0.2401 0.7599
Sr 0.1995 0.7599 0.2401
Sr 0.6045 0.9448 0.0552
Sr 0.1905 0.1097 0.5745
Sr 0.6905 0.5745 0.1097
Sr 0.2040 0.3482 0.3124
Sr 0.7040 0.3124 0.3482
Pb 0.4754 0.9536 0.7342
Pb 0.9754 0.7342 0.9536
Pb 0.4216 0.3930 0.6070
Pb 0.9216 0.6070 0.3930
Pb 0.9754 0.0464 0.2658
Pb 0.4754 0.2658 0.0464
F 0.0198 0.2077 0.7923
F 0.5198 0.7923 0.2077

E_form (uncorrected)	-929	meV per atom
uncorrected energy	-3.24	eV/atom
space group	Cmc2_1 (36)
calculated volume	40.50	Å³/atom

(2)
A plane-wave DFT calculation with PBE-GGA was carried out for a geometry-optimized Sr12Pb3F5 structure.

Cell lengths 15.2235, 15.2235, 15.2235 Å; angles 109.47, 109.47, 109.47 degrees
Atoms (fractional coordinates):
Pb 0.7500 0.3750 0.1250
Pb 0.8750 0.7500 0.1250
Pb 0.3750 0.7500 0.6250
Pb 0.2500 0.1250 0.3750
Pb 0.8750 0.1250 0.2500
Pb 0.3750 0.6250 0.2500
Pb 0.6250 0.3750 0.7500
Pb 0.1250 0.8750 0.7500
Pb 0.7500 0.8750 0.6250
Pb 0.6250 0.2500 0.3750
Pb 0.1250 0.2500 0.8750
Pb 0.2500 0.6250 0.8750
F 0.1250 0.3750 0.2500
F 0.0000 0.5000 0.0000
F 0.0000 0.0000 0.0000
F 0.3750 0.2500 0.1250
F 0.5000 0.0000 0.5000
F 0.5000 0.5000 0.0000
F 0.1250 0.7500 0.3750
F 0.7500 0.1250 0.8750
F 0.7500 0.6250 0.3750
F 0.3750 0.1250 0.7500
F 0.6250 0.8750 0.2500
F 0.5000 0.5000 0.5000
F 0.5000 0.0000 0.0000
F 0.0000 0.0000 0.5000
F 0.2500 0.3750 0.6250
F 0.2500 0.8750 0.1250
F 0.0000 0.5000 0.5000
F 0.8750 0.2500 0.6250
F 0.6250 0.7500 0.8750
F 0.8750 0.6250 0.7500
Sr 0.7084 0.1173 0.0186
Sr 0.3102 0.5186 0.4013
Sr 0.9814 0.3827 0.2916
Sr 0.5186 0.2084 0.1173
Sr 0.5911 0.7084 0.6898
Sr 0.9814 0.5987 0.1898
Sr 0.3102 0.7916 0.4089
Sr 0.0987 0.9089 0.1173
Sr 0.5987 0.9814 0.6898
Sr 0.7084 0.5911 0.1898
Sr 0.7916 0.4814 0.3827
Sr 0.8102 0.9013 0.0186
Sr 0.1173 0.7084 0.5186
Sr 0.3827 0.4013 0.0911
Sr 0.0911 0.9013 0.3827
Sr 0.4089 0.1173 0.5987
Sr 0.0911 0.1898 0.2084
Sr 0.4814 0.6898 0.0987
Sr 0.8102 0.9089 0.2916
Sr 0.1173 0.4089 0.0987
Sr 0.3827 0.9814 0.7916
Sr 0.5987 0.6173 0.4089
Sr 0.9013 0.8102 0.5186
Sr 0.7916 0.3102 0.9089
Sr 0.4013 0.3827 0.5911
Sr 0.0987 0.1898 0.4814
Sr 0.2084 0.6898 0.0911
Sr 0.1898 0.0911 0.7084
Sr 0.6173 0.0186 0.2084
Sr 0.8827 0.5911 0.9013
Sr 0.5186 0.3102 0.9013
Sr 0.5911 0.8827 0.4013
Sr 0.9089 0.8102 0.7916
Sr 0.9089 0.0987 0.6173
Sr 0.8827 0.2916 0.4814
Sr 0.1898 0.0987 0.9814
Sr 0.6173 0.5987 0.9089
Sr 0.4013 0.0186 0.3102
Sr 0.2916 0.4089 0.8102
Sr 0.2084 0.5186 0.6173
Sr 0.9013 0.0911 0.8827
Sr 0.6898 0.2084 0.5911
Sr 0.4814 0.7916 0.8827
Sr 0.0186 0.4013 0.8102
Sr 0.4089 0.2916 0.3102
Sr 0.0186 0.6173 0.7084
Sr 0.6898 0.4814 0.5987
Sr 0.2916 0.8827 0.9814

E_form (uncorrected)	-1550	meV per atom
uncorrected energy	-3.58	eV/atom
space group	Ia-3d (230)
calculated volume	33.95	Å³/atom

(3)
A plane-wave DFT calculation with PBE-GGA was carried out for a geometry-optimized SrPb3F8 structure.

Cell lengths 5.9614, 5.9614, 7.3000 Å; angles 114.10, 114.10, 90.00 degrees
Atoms (fractional coordinates):
Sr 0.0000 0.0000 0.0000
Pb 0.7500 0.2500 0.5000
Pb 0.5000 0.5000 0.0000
Pb 0.2500 0.7500 0.5000
F 0.3705 0.3705 0.2471
F 0.3705 0.8766 0.2471
F 0.1234 0.6295 0.7529
F 0.1234 0.1234 0.7529
F 0.8766 0.8766 0.2471
F 0.8766 0.3705 0.2471
F 0.6295 0.1234 0.7529
F 0.6295 0.6295 0.7529

E_form (uncorrected)	-2790	meV per atom
uncorrected energy	-5.11	eV/atom
space group	I4/mmm (139)
calculated volume	17.65	Å³/atom

(4)
A plane-wave DFT calculation with PBE-GGA was carried out for a geometry-optimized Sr6Pb2F structure.

Cell lengths 7.3987, 9.0393, 10.4997 Å; angles 90.00, 90.63, 90.00 degrees
Atoms (fractional coordinates):
Sr 0.8978 0.9744 0.2692
Sr 0.8225 0.6610 0.5544
Sr 0.8353 0.6848 0.9422
Sr 0.6647 0.1848 0.5578
Sr 0.6775 0.1610 0.9456
Sr 0.6022 0.4744 0.2308
Sr 0.1022 0.0256 0.7308
Sr 0.1775 0.3390 0.4456
Sr 0.1647 0.3152 0.0578
Sr 0.3353 0.8152 0.4422
Sr 0.3225 0.8390 0.0544
Sr 0.3978 0.5256 0.7692
Pb 0.9555 0.3846 0.7558
Pb 0.5445 0.8846 0.7442
Pb 0.4555 0.1154 0.2558
Pb 0.0445 0.6154 0.2442
F 0.5000 0.5000 0.0000
F 0.0000 0.0000 0.5000

E_form (uncorrected)	-908	meV per atom
uncorrected energy	-3.06	eV/atom
space group	P2_1/c (14)
calculated volume	39.01	Å³/atom

(5)
A plane-wave DFT calculation with PBE-GGA was carried out for a geometry-optimized SrPbF2 structure.

Cell lengths 6.2849, 6.2849, 7.1656 Å; angles 63.99, 63.99, 90.00 degrees
Atoms (fractional coordinates):
Pb 0.0000 0.0000 0.0000
Pb 0.7500 0.2500 0.5000
Sr 0.5000 0.5000 0.0000
Sr 0.2500 0.7500 0.5000
F 0.5257 0.1250 0.2500
F 0.2243 0.6250 0.2500
F 0.3750 0.4743 0.7500
F 0.8750 0.7757 0.7500

E_form (uncorrected)	-2294	meV per atom
energy relative to the lowest polymorph listed for this composition	1.32	eV/f.u.
uncorrected energy	-4.58	eV/atom
space group	I-42d (122)
calculated volume	27.75	Å³/atom

(6)
A plane-wave DFT calculation with PBE-GGA was carried out for a geometry-optimized SrPbF2 structure.

Cell lengths 4.8961, 4.8961, 4.8961 Å; angles 60.00, 60.00, 60.00 degrees
Atoms (fractional coordinates):
Pb 0.5000 0.5000 0.5000
Sr 0.0000 0.0000 0.0000
F 0.2500 0.2500 0.2500
F 0.7500 0.7500 0.7500

E_form (uncorrected)	-1833	meV per atom
energy relative to the lowest polymorph listed for this composition	3.16	eV/f.u.
uncorrected energy	-4.12	eV/atom
space group	Fm-3m (225)
calculated volume	20.75	Å³/atom

(7)
A plane-wave DFT calculation with PBE-GGA was carried out for a geometry-optimized Sr2Pb2F structure.

Cell lengths 7.2082, 7.2082, 5.8476 Å; angles 90.00, 90.00, 90.00 degrees
Atoms (fractional coordinates):
Pb 0.1546 0.6546 0.5000
Pb 0.6546 0.8454 0.5000
Pb 0.8454 0.3454 0.5000
Pb 0.3454 0.1546 0.5000
Sr 0.3229 0.8229 0.0000
Sr 0.8229 0.6771 0.0000
Sr 0.6771 0.1771 0.0000
Sr 0.1771 0.3229 0.0000
F 0.0000 0.0000 0.0000
F 0.5000 0.5000 0.0000

E_form (uncorrected)	-1201	meV per atom
uncorrected energy	-3.73	eV/atom
space group	P4/mbm (127)
calculated volume	30.38	Å³/atom

(8)
A plane-wave DFT calculation with PBE-GGA was carried out for a geometry-optimized SrPb2F11 structure.

Cell lengths 8.3791, 8.8503, 8.8503 Å; angles 73.60, 61.75, 61.75 degrees
Atoms (fractional coordinates):
Sr 0.7500 0.7500 0.7500
Sr 0.2500 0.2500 0.2500
Pb 0.6669 0.6986 0.3014
Pb 0.3331 0.3014 0.6986
Pb 0.8331 0.1986 0.8014
Pb 0.1669 0.8014 0.1986
F 0.6435 0.7132 0.5404
F 0.3565 0.2868 0.4596
F 0.1028 0.5404 0.7132
F 0.8565 0.9596 0.7868
F 0.8972 0.4596 0.2868
F 0.1435 0.0404 0.2132
F 0.3972 0.7868 0.9596
F 0.6028 0.2132 0.0404
F 0.5000 0.5000 0.5000
F 0.0000 0.0000 0.0000
F 0.9008 0.8126 0.1874
F 0.0992 0.1874 0.8126
F 0.5992 0.3126 0.6874
F 0.4008 0.6874 0.3126
F 0.4792 0.9567 0.3072
F 0.5208 0.0433 0.6928
F 0.2569 0.3072 0.9567
F 0.0208 0.1928 0.5433
F 0.7431 0.6928 0.0433
F 0.9792 0.8072 0.4567
F 0.2431 0.5433 0.1928
F 0.7569 0.4567 0.8072

E_form (uncorrected)	-2173	meV per atom
uncorrected energy	-4.29	eV/atom
space group	Ibam (72)
calculated volume	18.14	Å³/atom

Total moment in μB/cell, matching the order above: 0.0; 0.0; 0.0; 1.6; 0.0; 0.0; 0.0; 2.2